1.
! Na2Ir2WS6 | the Alexandria database | PBE | relaxed; values from VASP
! ΔE_f (raw) ... -0.534 eV/atom
! M_tot ... 2.00 μB per cell
&SYSTEM
  ibrav = 0, nat = 11, ntyp = 4
/
ATOMIC_SPECIES
Na 22.99 Na.upf
Ir 192.22 Ir.upf
W 183.84 W.upf
S 32.06 S.upf
CELL_PARAMETERS angstrom
6.2630 -0.0561 0.0547
-3.1443 5.4168 0.0547
-1.1179 -1.9216 6.5228
ATOMIC_POSITIONS crystal
Na 0.8344 0.1656 0.0000
Na 0.1656 0.8344 0.0000
Ir 0.3335 0.6665 0.5000
Ir 0.6665 0.3335 0.5000
W 0.0000 0.0000 0.5000
S 0.7241 0.7241 0.6937
S 0.0612 0.4048 0.6901
S 0.2759 0.2759 0.3063
S 0.4048 0.0612 0.6901
S 0.9388 0.5952 0.3099
S 0.5952 0.9388 0.3099

---

2.
! ZrCr2SbH | the Alexandria database | PBE | relaxed; values from VASP
! M_tot ... 8.18 μB per cell
&SYSTEM
  ibrav = 0, nat = 5, ntyp = 4
/
ATOMIC_SPECIES
Sb 121.76 Sb.upf
H 1.01 H.upf
Zr 91.22 Zr.upf
Cr 52.00 Cr.upf
CELL_PARAMETERS angstrom
-1.5642 -4.8322 -0.4361
1.6930 -0.0745 -5.2471
4.5924 -1.6224 1.5048
ATOMIC_POSITIONS crystal
Sb 0.0000 0.5000 0.0000
H 0.5000 0.5000 0.5000
Zr 0.0000 0.0000 0.0000
Cr 0.0000 0.0000 0.5000
Cr 0.5000 0.0000 0.0000

---

| no. | E_tot (eV per atom) |
| --- | --- |
| 1 | -5.813 |
| 2 | -5.298 |